DFT (PBE) results for a geometry-optimized Pm2NdGa2Cu2 structure.

```
data_Pm2NdGa2Cu2
_chemical_formula_sum 'Pm2 Nd1 Ga2 Cu2'
_space_group_name_H-M_alt 'P 1'
_space_group_IT_number 1
_cell_length_a 9.7491
_cell_length_b 9.7491
_cell_length_c 9.7491
_cell_angle_alpha 26.41
_cell_angle_beta 26.41
_cell_angle_gamma 26.41
loop_
_space_group_symop_operation_xyz
'x,y,z'
loop_
_atom_site_label
_atom_site_type_symbol
_atom_site_fract_x
_atom_site_fract_y
_atom_site_fract_z
_atom_site_occupancy
Pm1 Pm 0.1244 0.1244 0.1244 1
Pm2 Pm 0.8756 0.8756 0.8756 1
Nd1 Nd 0.0000 0.0000 0.0000 1
Ga1 Ga 0.2636 0.2636 0.2636 1
Ga2 Ga 0.7364 0.7364 0.7364 1
Cu1 Cu 0.3992 0.3992 0.3992 1
Cu2 Cu 0.6008 0.6008 0.6008 1
```

Values from the calculation:
Fermi-level density of states in states/eV/f.u.: 5.9
ρ in g/cm³: 7.20
Total magnetization in μB/f.u.: 0.0
Energy relative to the elements in eV per atom: -0.375
VASP energy in eV/atom: -4.449